(1)
# CsSbTe2F

CsSbTe2F at its PBEsol-relaxed geometry (meta-GGA SCAN, the Alexandria database).

## Properties
Symmetry: P4/mmm, No. 123
Mass density (g/cm3): 3.376
Formation energy from raw total energies (eV per atom): 1.124
Raw total energy (eV/atom): -29.499
V (Å³ per cell): 260

```
CsSbTe2F
1.0
-5.986 -0.993 -1.605
-0.683 -3.836 4.920
-1.851 5.122 3.736
Cs Sb Te F
1 1 2 1
direct
0.000 0.000 0.000
0.000 0.000 0.500
0.000 0.500 0.000
0.500 0.000 0.000
0.500 0.500 0.500
```

(2)
# Rb3HoV2O8

Rb3HoV2O8 at its PBEsol-relaxed geometry (meta-GGA SCAN, the Alexandria database).

## Properties
Symmetry: P-3m1, No. 164
Mass density (g/cm3): 4.512
Formation energy from raw total energies (eV per atom): -2.820
Raw total energy (eV/atom): -16.823
V (Å³ per cell): 240

```
Rb3HoV2O8
1.0
5.961 0.000 0.000
-2.981 5.162 0.000
0.000 0.000 7.787
Rb Ho V O
3 1 2 8
direct
0.667 0.333 0.303
0.333 0.667 0.697
0.000 0.000 0.000
0.000 0.000 0.500
0.667 0.333 0.744
0.333 0.667 0.256
0.667 0.333 0.957
0.333 0.667 0.043
0.825 0.650 0.669
0.175 0.350 0.331
0.825 0.175 0.669
0.175 0.825 0.331
0.350 0.175 0.669
0.650 0.825 0.331
```

(3)
# LiCr3Mo

LiCr3Mo at its PBEsol-relaxed geometry (meta-GGA SCAN, the Alexandria database).

## Properties
Symmetry: Pm-3m, No. 221
Mass density (g/cm3): 4.282
Raw total energy (eV/atom): -17.370
Formation energy from the elements (eV per atom): 1.1158
V (Å³ per cell): 100

```
LiCr3Mo
1.0
4.648 0.000 0.000
0.000 4.648 0.000
0.000 0.000 4.648
Cr Mo Li
3 1 1
direct
0.000 0.500 0.000
0.000 0.000 0.500
0.500 0.000 0.000
0.000 0.000 0.000
0.500 0.500 0.500
```